Here is crystalline YRh2Br at its relaxed geometry from the Alexandria database. Energies are from GGA-PBE.

**Energy**: -5.884 eV/atom
**E_form (uncorrected)**: -0.17 eV/atom
**Total magnetization**: 0.0 μB/cell
**Crystal system**: tetragonal
**ΔE to the lowest computed polymorph**: 252 meV per atom

```
data_YRh2Br
_space_group_name_H-M_alt 'P 4/m m m'
_space_group_IT_number 123
_space_group_name_Hall '-P 4 2'
_cell_length_a 4.206
_cell_length_b 4.206
_cell_length_c 4.186
_cell_angle_alpha 90.00
_cell_angle_beta 90.00
_cell_angle_gamma 90.00
loop_
_atom_site_label
_atom_site_fract_x
_atom_site_fract_y
_atom_site_fract_z
_atom_site_occupancy
Y1 0.000 0.000 0.000 1
Rh1 0.000 0.500 0.500 1
Br1 0.500 0.500 0.000 1
```